Record 1
VASP calculation (PBE) on crystalline SiBRhAuCS at its relaxed geometry.

Summary:
Fermi-level density of states = 1.51 states/eV per cell
total magnetization = 0.00 μB/cell
offset from the most stable computed form = 78 meV per atom
E_form (uncorrected) = 0.257 eV/atom
raw total energy = -5.757 eV/atom
density = 7.273 g cm⁻³

a = 4.7981 Å, b = 2.7906 Å, c = 6.5468 Å
α = 90.00°, β = 94.29°, γ = 90.00°
Closest atoms and distances in Å follow each position.
Fractional positions:
Si: 0.8468 0.0000 0.2675  1 C 1.96
C: 0.0869 0.0000 0.0387  1 B 1.56
Rh: 0.8988 0.5000 0.5696  2 B 2.10
B: 0.0024 0.0000 0.8032  1 C 1.56
Au: 0.4082 0.0000 0.6263  1 B 2.34
S: 0.3286 0.5000 0.1148  2 C 1.86



Record 2
VASP calculation (PBE) on crystalline Re2NiRh at its relaxed geometry.

Summary:
Fermi-level density of states = 4.55 states/eV per cell
total magnetization = 0.00 μB/cell
offset from the most stable computed form = 134 meV per atom
raw total energy = -9.457 eV/atom
density = 15.924 g cm⁻³

a = 4.6991 Å, b = 4.6991 Å, c = 4.6282 Å
α = 80.40°, β = 80.40°, γ = 33.60°
Closest atoms and distances in Å follow each position.
Fractional positions:
Re: 0.9999 0.9999 0.0028  6 Re 2.66-2.72, 3 Ni 2.70, 3 Rh 2.71
Re: 0.5001 0.5001 0.4972  6 Re 2.66-2.72, 3 Ni 2.70, 3 Rh 2.71
Ni: 0.2500 0.2500 0.2500  4 Rh 2.68, 6 Re 2.70, 2 Ni 2.72
Rh: 0.7500 0.7500 0.7500  4 Ni 2.68, 6 Re 2.71, 2 Rh 2.72



Record 3
VASP calculation (PBE) on crystalline Tb4Sm3Tl4 at its relaxed geometry.

Summary:
Fermi-level density of states = 12.51 states/eV per cell
total magnetization = 1.69 μB/cell
raw total energy = -4.065 eV/atom
density = 9.321 g cm⁻³

a = 3.7717 Å, b = 9.6847 Å, c = 10.6425 Å
α = 117.07°, β = 100.21°, γ = 90.00°
Closest atoms and distances in Å follow each position.
Fractional positions:
Sm: 0.0987 0.0987 0.1974  6 Tl 3.20-3.40
Sm: 0.0000 0.5000 0.0000  4 Tl 3.29
Sm: 0.9013 0.9013 0.8026  6 Tl 3.20-3.40
Tb: 0.6658 0.4715 0.3316  4 Tl 3.18-3.25
Tb: 0.3342 0.5285 0.6684  4 Tl 3.18-3.25
Tb: 0.3342 0.1399 0.6684  4 Tl 3.18-3.25
Tb: 0.6658 0.8601 0.3316  4 Tl 3.18-3.25
Tl: 0.7376 0.2376 0.4752  2 Sm 3.20, 6 Tb 3.21-3.25
Tl: 0.5000 0.7781 0.0000  2 Tb 3.18, 6 Sm 3.29-3.40
Tl: 0.2624 0.7624 0.5248  2 Sm 3.20, 6 Tb 3.21-3.25
Tl: 0.5000 0.2219 0.0000  2 Tb 3.18, 6 Sm 3.29-3.40



Record 4
VASP calculation (PBE) on crystalline CdTeW2 at its relaxed geometry.

Summary:
Fermi-level density of states = 4.30 states/eV per cell
total magnetization = 0.00 μB/cell
offset from the most stable computed form = 520 meV per atom
E_form (uncorrected) = 0.953 eV/atom
raw total energy = -6.538 eV/atom
density = 13.692 g cm⁻³

a = 3.2502 Å, b = 3.2502 Å, c = 6.9769 Å
α = 90.00°, β = 90.00°, γ = 90.00°
Closest atoms and distances in Å follow each position.
Fractional positions:
W: 0.0000 0.0000 0.5216  4 Te 2.80, 4 Cd 2.98
W: 0.0000 0.0000 0.9784  4 Te 2.80, 4 Cd 2.98
Te: 0.5000 0.5000 0.7500  8 W 2.80
Cd: 0.5000 0.5000 0.2500  8 W 2.98, 4 Cd 3.25



Record 5
VASP calculation (PBE) on crystalline Ta2PtCl at its relaxed geometry.

Summary:
Fermi-level density of states = 4.33 states/eV per cell
total magnetization = 0.00 μB/cell
offset from the most stable computed form = 735 meV per atom
E_form (uncorrected) = 0.449 eV/atom
raw total energy = -7.449 eV/atom
density = 14.059 g cm⁻³

a = 5.5268 Å, b = 5.5268 Å, c = 5.5268 Å
α = 139.70°, β = 139.70°, γ = 58.31°
Closest atoms and distances in Å follow each position.
Fractional positions:
Pt: 0.7500 0.2500 0.5000  4 Ta 2.69
Ta: 0.2500 0.7500 0.5000  4 Pt 2.69
Ta: 0.0000 0.0000 0.0000  4 Cl 2.69
Cl: 0.5000 0.5000 0.0000  4 Ta 2.69